# SrTbW2O8 PBE with a Hubbard U relaxed
data_SrTbW2O8
_chemical_formula_sum 'Sr1 Tb1 W2 O8'
_symmetry_space_group_name_H-M 'P 1'
_symmetry_Int_Tables_number 1
_cell_length_a 6.0203
_cell_length_b 6.0203
_cell_length_c 7.1177
_cell_angle_alpha 90.00
_cell_angle_beta 90.00
_cell_angle_gamma 120.00
loop_
_symmetry_equiv_pos_as_xyz
'x,y,z'
loop_
_atom_site_label
_atom_site_type_symbol
_atom_site_fract_x
_atom_site_fract_y
_atom_site_fract_z
_atom_site_occupancy
Sr1 Sr 0.0000 0.0000 0.0000 1
Tb1 Tb 0.0000 0.0000 0.5000 1
W1 W 0.3333 0.6667 0.7908 1
W2 W 0.6667 0.3333 0.2092 1
O1 O 0.1630 0.3259 0.7121 1
O2 O 0.1630 0.8370 0.7121 1
O3 O 0.3259 0.1630 0.2879 1
O4 O 0.3333 0.6667 0.0435 1
O5 O 0.6667 0.3333 0.9565 1
O6 O 0.6741 0.8370 0.7121 1
O7 O 0.8370 0.1630 0.2879 1
O8 O 0.8370 0.6741 0.2879 1
# - total moment (μB/cell) = 1.001
# - VASP energy (eV per formula unit) = -88.8